# 1
DFT (PBE-GGA) results for La5PrPb2 after structural relaxation.

CIF file:
```
data_La5PrPb2
_cell_length_a 7.171
_cell_length_b 14.338
_cell_length_c 5.063
_cell_angle_alpha 90.00
_cell_angle_beta 90.00
_cell_angle_gamma 90.00
_symmetry_space_group_name_H-M 'P b a m'
_symmetry_Int_Tables_number 55
_symmetry_space_group_name_Hall '-P 2 2ab'
loop_
_atom_site_label
_atom_site_fract_x
_atom_site_fract_y
_atom_site_fract_z
La1 0.000 0.000 0.000
La2 0.006 0.251 0.000
La3 0.247 0.875 0.500
Pr1 0.000 0.500 0.000
Pb1 0.246 0.624 0.500
```

Results
VASP energy (eV per atom): -4.986
ΔH_f (0 K) (eV/atom): -0.382

***

# 2
DFT (PBE-GGA) results for La12Pr6Pb after structural relaxation.

CIF file:
```
data_La12Pr6Pb
_cell_length_a 15.5221
_cell_length_b 15.5221
_cell_length_c 9.4840
_cell_angle_alpha 90.00
_cell_angle_beta 90.00
_cell_angle_gamma 120.00
_symmetry_space_group_name_H-M 'R -3'
_symmetry_Int_Tables_number 148
_symmetry_space_group_name_Hall '-R 3'
loop_
_atom_site_label
_atom_site_fract_x
_atom_site_fract_y
_atom_site_fract_z
La1 0.0202 0.2394 0.0424
La2 0.0469 0.4487 0.0994
Pr1 0.0416 0.1497 0.6955
Pb1 0.0000 0.0000 0.0000
```

Results
VASP energy (eV per atom): -4.780
ΔH_f (0 K) (eV/atom): 0.037

***

# 3
DFT (PBE-GGA) results for LaPr2Pb2 after structural relaxation.

CIF file:
```
data_LaPr2Pb2
_cell_length_a 5.3329
_cell_length_b 5.3329
_cell_length_c 13.4708
_cell_angle_alpha 90.00
_cell_angle_beta 90.00
_cell_angle_gamma 120.00
_symmetry_space_group_name_H-M 'P 63/m m c'
_symmetry_Int_Tables_number 194
_symmetry_space_group_name_Hall '-P 6c 2c'
loop_
_atom_site_label
_atom_site_fract_x
_atom_site_fract_y
_atom_site_fract_z
La1 0.0000 0.0000 0.2500
Pr1 0.0000 0.0000 0.0000
Pr2 0.3333 0.6667 0.2500
Pb1 0.3333 0.6667 0.6229
```

Results
VASP energy (eV per atom): -4.593
ΔH_f (0 K) (eV/atom): -0.212
Energy above the lowest structure with this stoichiometry (eV/f.u.): 0.66